## PmDy3Cu2 (PBE-GGA)

Data for an optimized crystal structure of PmDy3Cu2.

Unit cell a=3.496 b=3.496 c=12.200 alpha=90.00 beta=90.00 gamma=90.00
Space group P4/mmm (No. 123)
One atom of each set of equivalent atoms:
Pm1 0.000 0.000 0.000 (multiplicity 1)
Dy1 0.500 0.500 0.220 (multiplicity 2)
Dy2 0.500 0.500 0.500 (multiplicity 1)
Cu1 0.000 0.000 0.359 (multiplicity 2)

Values from the calculation:
Magnetic moment (μB per cell): 0.000
E_form (eV/atom): -0.15
Raw total energy (eV for the cell shown): -27.67
Calculated volume (Å³ per cell): 149.1

## Cs3BiCl6 (PBE-GGA)

Data for an optimized crystal structure of Cs3BiCl6.

Unit cell a=8.162 b=8.614 c=14.217 alpha=90.00 beta=124.80 gamma=90.00
Space group P2_1/c (No. 14)
One atom of each set of equivalent atoms:
Cs1 0.000 0.000 0.000 (multiplicity 2)
Cs2 0.225 0.065 0.748 (multiplicity 4)
Bi1 0.500 0.000 0.500 (multiplicity 2)
Cl1 0.179 0.175 0.450 (multiplicity 4)
Cl2 0.267 0.737 0.433 (multiplicity 4)
Cl3 0.392 0.048 0.281 (multiplicity 4)

Values from the calculation:
ΔE_f (raw) (eV per atom): -1.65
E above lowest polymorph (meV/atom): 8.6
Magnetic moment (μB per cell): 0.000
Raw total energy (eV for the cell shown): -68.10
Calculated volume (Å³ per cell): 820.9